Entry 1:
A plane-wave DFT calculation with PBE was carried out for a relaxed structure of ErSi4Pd8.

a = 8.6914 Å, b = 8.6914 Å, c = 5.2777 Å
α = 90.00°, β = 90.00°, γ = 90.00°
Space group I4/mmm (No. 139)
Inequivalent atoms, fractional coordinates:
Er (0.0000, 0.0000, 0.0000) x2
Si (0.2500, 0.2500, 0.2500) x8
Pd (0.0000, 0.2241, 0.5000) x8
Pd (0.0000, 0.3279, 0.0000) x8

Summary:
- volume (Å³/atom) = 15.33
- uncorrected energy (hartree per atom) = -0.2158
- ΔE_f (raw) (kJ per mole of atoms) = -63

---

Entry 2:
A plane-wave DFT calculation with PBE was carried out for a relaxed structure of LaGeO.

a = 4.0591 Å, b = 4.0591 Å, c = 25.7733 Å
α = 90.00°, β = 90.00°, γ = 120.00°
Space group R-3m (No. 166, hexagonal axes)
Inequivalent atoms, fractional coordinates:
La (0.0000, 0.0000, 0.1077) x6
Ge (0.0000, 0.0000, 0.3533) x6
O (0.0000, 0.0000, 0.2008) x6

Summary:
- volume (Å³/atom) = 20.43
- uncorrected energy (hartree per atom) = -0.2584
- ΔE_f (raw) (kJ per mole of atoms) = -212

---

Entry 3:
A plane-wave DFT calculation with PBE was carried out for a relaxed structure of HoMn6Ga6.

a = 5.1799 Å, b = 8.5903 Å, c = 8.6080 Å
α = 90.00°, β = 90.00°, γ = 90.00°
Space group Immm (No. 71)
Inequivalent atoms, fractional coordinates:
Ho (0.0000, 0.0000, 0.0000) x2
Mn (0.0000, 0.5000, 0.2569) x4
Mn (0.2500, 0.2500, 0.2500) x8
Ga (0.0000, 0.0000, 0.3336) x4
Ga (0.0000, 0.3093, 0.5000) x4
Ga (0.0000, 0.3424, 0.0000) x4

Summary:
- volume (Å³/atom) = 14.73
- excess energy over the best structure of this formula in the dataset (kJ/mol of atoms) = 0.0
- uncorrected energy (hartree per atom) = -0.2276
- ΔH_f (0 K) (meV/atom) = -212

---

Entry 4:
A plane-wave DFT calculation with PBE was carried out for a relaxed structure of SbTeCl2.

a = 3.5928 Å, b = 5.6905 Å, c = 11.9977 Å
α = 90.00°, β = 90.00°, γ = 90.00°
Space group Cmmm (No. 65)
Inequivalent atoms, fractional coordinates:
Sb (0.0000, 0.0000, 0.0000) x2
Te (0.0000, 0.0000, 0.5000) x2
Cl (0.0000, 0.5000, 0.1691) x4

Summary:
- volume (Å³/atom) = 30.66
- excess energy over the best structure of this formula in the dataset (kJ/mol of atoms) = 34.7
- uncorrected energy (hartree per atom) = -0.1069
- ΔE_f (raw) (kJ per mole of atoms) = -16

---

Entry 5:
A plane-wave DFT calculation with PBE was carried out for a relaxed structure of NaEr2Sn3Se6.

a = 18.4337 Å, b = 4.0537 Å, c = 9.0452 Å
α = 90.00°, β = 104.00°, γ = 90.00°
Space group C2/m (No. 12)
Inequivalent atoms, fractional coordinates:
Na (0.0000, 0.0000, 0.0000) x2
Er (0.1662, 0.5000, 0.3308) x4
Sn (0.0000, 0.0000, 0.5000) x2
Sn (0.1596, 0.5000, 0.8346) x4
Se (0.0099, 0.5000, 0.2585) x4
Se (0.1703, 0.0000, 0.5572) x4
Se (0.1753, 0.0000, 0.1144) x4

Summary:
- volume (Å³/atom) = 27.33
- uncorrected energy (hartree per atom) = -0.1695
- ΔE_f (raw) (kJ per mole of atoms) = -96

---

Entry 6:
A plane-wave DFT calculation with PBE was carried out for a relaxed structure of TiZnNiRu.

a = 3.2584 Å, b = 3.9511 Å, c = 4.1670 Å
α = 90.00°, β = 90.00°, γ = 90.00°
Space group Pmmm (No. 47)
Inequivalent atoms, fractional coordinates:
Ti (0.0000, 0.0000, 0.0000) x1
Zn (0.0000, 0.5000, 0.5000) x1
Ni (0.5000, 0.0000, 0.5000) x1
Ru (0.5000, 0.5000, 0.0000) x1

Summary:
- volume (Å³/atom) = 13.41
- excess energy over the best structure of this formula in the dataset (kJ/mol of atoms) = 0.0
- uncorrected energy (hartree per atom) = -0.2386
- ΔH_f (0 K) (meV/atom) = -437

---

Entry 7:
A plane-wave DFT calculation with PBE was carried out for a relaxed structure of AcPm4Ho2.

a = 7.0105 Å, b = 11.7420 Å, c = 12.1466 Å
α = 90.00°, β = 90.00°, γ = 90.00°
Space group Imma (No. 74)
Inequivalent atoms, fractional coordinates:
Ac (0.0000, 0.0000, 0.0000) x4
Pm (0.0000, 0.0076, 0.3539) x8
Pm (0.2155, 0.2500, 0.5111) x8
Ho (0.0000, 0.2500, 0.7766) x4
Ho (0.2500, 0.2500, 0.2500) x4

Summary:
- volume (Å³/atom) = 35.71
- excess energy over the best structure of this formula in the dataset (kJ/mol of atoms) = 0.0
- uncorrected energy (hartree per atom) = -0.1612
- ΔH_f (0 K) (meV/atom) = 222

---

Entry 8:
A plane-wave DFT calculation with PBE was carried out for a relaxed structure of Tm2Si4NiIr3.

a = 4.0305 Å, b = 4.0305 Å, c = 10.0330 Å
α = 90.00°, β = 90.00°, γ = 90.00°
Space group P-4m2 (No. 115)
Inequivalent atoms, fractional coordinates:
Tm (0.0000, 0.5000, 0.2492) x2
Si (0.0000, 0.0000, 0.0000) x1
Si (0.0000, 0.5000, 0.6307) x2
Si (0.5000, 0.5000, 0.0000) x1
Ni (0.0000, 0.0000, 0.5000) x1
Ir (0.0000, 0.5000, 0.8674) x2
Ir (0.5000, 0.5000, 0.5000) x1

Summary:
- volume (Å³/atom) = 16.30
- uncorrected energy (hartree per atom) = -0.2668
- ΔE_f (raw) (kJ per mole of atoms) = -93

---

Entry 9:
A plane-wave DFT calculation with PBE was carried out for a relaxed structure of Pa2SbMo.

a = 4.3209 Å, b = 4.3209 Å, c = 6.5648 Å
α = 90.00°, β = 90.00°, γ = 120.00°
Space group P-3m1 (No. 164)
Inequivalent atoms, fractional coordinates:
Pa (0.3333, 0.6667, 0.2061) x2
Sb (0.0000, 0.0000, 0.5000) x1
Mo (0.0000, 0.0000, 0.0000) x1

Summary:
- volume (Å³/atom) = 26.54
- excess energy over the best structure of this formula in the dataset (kJ/mol of atoms) = 17.3
- uncorrected energy (hartree per atom) = -0.3104
- ΔE_f (raw) (kJ per mole of atoms) = 4